# 1
A plane-wave DFT calculation with PBE was carried out for a relaxed Tb3Sm8Er crystal.

a b c (Å): 11.980 12.653 9.761
angles (deg): 147.01 90.00 118.26
Fractional positions:
Tb1 0.500 0.000 0.000
Tb2 0.500 0.500 0.000
Tb3 0.000 0.500 0.000
Sm1 0.321 0.643 0.972
Sm2 0.679 0.357 0.028
Sm3 0.320 0.147 0.981
Sm4 0.827 0.147 0.981
Sm5 0.821 0.642 0.979
Sm6 0.179 0.358 0.021
Sm7 0.173 0.853 0.019
Sm8 0.680 0.853 0.019
Er1 0.000 0.000 0.000

Output
Crystal system   monoclinic
Formation energy   0.12 eV per atom
Space-group type   C2/m
Volume   33.1 Å³/atom



# 2
A plane-wave DFT calculation with PBE was carried out for a relaxed TmZnCo crystal.

a b c (Å): 3.497 4.190 4.190
angles (deg): 120.00 90.00 90.00
Site moments in Bohr magnetons follow the coordinates.
Fractional positions:
Zn1 0.166 0.000 0.000  -0.01
Tm1 0.667 0.667 0.333  -0.08
Co1 0.167 0.333 0.667  0.37

Output
Crystal system   hexagonal
Formation energy   -0.21 eV per atom
Space-group type   P-6m2
Volume   17.7 Å³/atom